A relaxed Sc2PbBr crystal, computed with PBE.

```
Sc2PbBr
1.0
3.807 0.000 0.000
0.000 6.171 0.000
0.000 0.000 8.448
Sc Pb Br
4 2 2
direct
0.000 0.000 0.220 Sc
0.000 0.000 0.780 Sc
0.500 0.500 0.280 Sc
0.500 0.500 0.720 Sc
0.000 0.500 0.000 Pb
0.500 0.000 0.500 Pb
0.000 0.500 0.500 Br
0.500 0.000 0.000 Br
```

Uncorrected formation energy: -440 meV per atom
E: -4.951 eV per atom
ΔE to the lowest computed polymorph: 167 meV/atom
D(E_F): 3.33 states/eV/f.u.


A relaxed TiCrFe4 crystal, computed with PBE.

```
TiCrFe4
1.0
0.000 3.339 3.339
3.339 0.000 3.339
3.339 3.339 0.000
Ti Cr Fe
1 1 4
direct
0.000 0.000 0.000 Ti
0.250 0.250 0.250 Cr
0.127 0.624 0.624 Fe
0.624 0.127 0.624 Fe
0.624 0.624 0.127 Fe
0.624 0.624 0.624 Fe
```

E: -8.587 eV per atom
ΔE_f: -0.026 eV/atom
D(E_F): 6.12 states/eV/f.u.


A relaxed PmDyAlTc crystal, computed with PBE.

```
PmDyAlTc
1.0
7.125 0.000 0.000
0.000 7.125 0.000
0.000 0.000 7.125
Pm Dy Al Tc
4 4 4 4
direct
0.000 0.000 0.000 Pm
0.000 0.500 0.500 Pm
0.500 0.000 0.500 Pm
0.500 0.500 0.000 Pm
0.000 0.000 0.500 Dy
0.000 0.500 0.000 Dy
0.500 0.000 0.000 Dy
0.500 0.500 0.500 Dy
0.250 0.250 0.250 Al
0.250 0.750 0.750 Al
0.750 0.250 0.750 Al
0.750 0.750 0.250 Al
0.250 0.250 0.750 Tc
0.250 0.750 0.250 Tc
0.750 0.250 0.250 Tc
0.750 0.750 0.750 Tc
```

E: -5.942 eV per atom
ΔE_f: -0.077 eV/atom
D(E_F): 4.24 states/eV/f.u.


A relaxed Hf2Nb4As crystal, computed with PBE.

```
Hf2Nb4As
1.0
4.747 0.000 0.000
0.000 4.747 0.000
0.000 0.000 13.797
Hf Nb As
4 8 2
direct
0.000 0.000 0.124 Hf
0.000 0.000 0.876 Hf
0.500 0.500 0.376 Hf
0.500 0.500 0.624 Hf
0.000 0.000 0.317 Nb
0.000 0.000 0.683 Nb
0.000 0.500 0.000 Nb
0.000 0.500 0.500 Nb
0.500 0.000 0.000 Nb
0.500 0.000 0.500 Nb
0.500 0.500 0.183 Nb
0.500 0.500 0.817 Nb
0.000 0.000 0.500 As
0.500 0.500 0.000 As
```

E: -8.498 eV per atom
ΔE_f: 0.764 eV/atom
D(E_F): 10.75 states/eV/f.u.


A relaxed CeSm2Ho5 crystal, computed with PBE.

```
CeSm2Ho5
1.0
7.098 0.000 0.000
0.000 14.203 0.000
0.000 0.000 5.026
Ce Sm Ho
2 4 10
direct
0.000 0.000 0.000 Ce
0.500 0.500 0.000 Ce
0.248 0.124 0.500 Sm
0.252 0.624 0.500 Sm
0.748 0.376 0.500 Sm
0.752 0.876 0.500 Sm
0.000 0.500 0.000 Ho
0.003 0.250 0.000 Ho
0.244 0.876 0.500 Ho
0.256 0.376 0.500 Ho
0.497 0.750 0.000 Ho
0.500 0.000 0.000 Ho
0.503 0.250 0.000 Ho
0.744 0.624 0.500 Ho
0.756 0.124 0.500 Ho
0.997 0.750 0.000 Ho
```

E: -4.740 eV per atom
ΔE_f: 0.042 eV/atom
D(E_F): 12.71 states/eV/f.u.


A relaxed LiAl6Pd2 crystal, computed with PBE.

```
LiAl6Pd2
1.0
2.394 -4.106 0.000
2.394 4.106 0.000
-2.168 0.000 7.031
Li Al Pd
1 6 2
direct
0.000 0.000 0.000 Li
0.074 0.401 0.337 Al
0.333 0.667 0.000 Al
0.401 0.074 0.337 Al
0.599 0.926 0.663 Al
0.667 0.333 0.000 Al
0.926 0.599 0.663 Al
0.273 0.273 0.675 Pd
0.727 0.727 0.325 Pd
```

E: -4.273 eV per atom
ΔE_f: -0.412 eV/atom
D(E_F): 2.01 states/eV/f.u.


A relaxed Mg2CrRe crystal, computed with PBE.

```
Mg2CrRe
1.0
3.098 0.000 0.000
0.000 4.601 0.000
0.000 0.000 9.236
Mg Cr Re
4 2 2
direct
0.000 0.000 0.000 Mg
0.000 0.500 0.294 Mg
0.500 0.000 0.294 Mg
0.500 0.500 0.000 Mg
0.000 0.500 0.753 Cr
0.500 0.000 0.753 Cr
0.000 0.000 0.550 Re
0.500 0.500 0.550 Re
```

E: -6.032 eV per atom
ΔE to the lowest computed polymorph: 126 meV/atom
ΔE_f: 0.283 eV/atom
D(E_F): 3.03 states/eV/f.u.


A relaxed ZrTeAs2 crystal, computed with PBE.

```
ZrTeAs2
1.0
3.740 0.000 0.000
0.000 4.705 0.000
0.000 0.000 9.665
Zr Te As
2 2 4
direct
0.000 0.000 0.000 Zr
0.500 0.500 0.500 Zr
0.000 0.000 0.500 Te
0.500 0.500 0.000 Te
0.000 0.500 0.254 As
0.000 0.500 0.746 As
0.500 0.000 0.246 As
0.500 0.000 0.754 As
```

Uncorrected formation energy: -163 meV per atom
E: -5.410 eV per atom
D(E_F): 2.25 states/eV/f.u.


A relaxed Mn2Ni2Mo crystal, computed with PBE.

```
Mn2Ni2Mo
1.0
6.892 0.000 0.000
0.000 6.892 0.000
0.000 0.000 2.677
Mn Ni Mo
4 4 2
direct
0.168 0.332 0.000 Mn
0.332 0.832 0.000 Mn
0.668 0.168 0.000 Mn
0.832 0.668 0.000 Mn
0.127 0.627 0.500 Ni
0.373 0.127 0.500 Ni
0.627 0.873 0.500 Ni
0.873 0.373 0.500 Ni
0.000 0.000 0.500 Mo
0.500 0.500 0.500 Mo
```

E: -8.010 eV per atom
ΔE to the lowest computed polymorph: 0 meV/atom
ΔE_f: 0.136 eV/atom
D(E_F): 4.58 states/eV/f.u.


A relaxed Ti3Al3TcRh2 crystal, computed with PBE.

```
Ti3Al3TcRh2
1.0
7.309 0.000 0.000
-3.654 6.329 0.000
0.000 0.000 3.007
Ti Al Tc Rh
3 3 1 2
direct
0.000 0.718 0.000 Ti
0.282 0.282 0.000 Ti
0.718 0.000 0.000 Ti
0.000 0.376 0.500 Al
0.376 0.000 0.500 Al
0.624 0.624 0.500 Al
0.000 0.000 0.500 Tc
0.333 0.667 0.000 Rh
0.667 0.333 0.000 Rh
```

E: -7.303 eV per atom
ΔE_f: -0.639 eV/atom
D(E_F): 5.11 states/eV/f.u.


A relaxed LiYSn crystal, computed with PBE.

```
LiYSn
1.0
3.426 0.000 0.000
0.000 4.564 0.000
-1.704 0.000 9.538
Li Y Sn
2 2 2
direct
0.000 0.000 0.000 Li
0.445 0.500 0.894 Li
0.653 0.000 0.309 Y
0.830 0.000 0.667 Y
0.078 0.500 0.158 Sn
0.251 0.500 0.509 Sn
```

E: -4.525 eV per atom
ΔE_f: -0.398 eV/atom
D(E_F): 1.49 states/eV/f.u.